# Cd2CuNi

Cd2CuNi after structural relaxation (GGA-PBE, Alexandria).

Lattice parameters (Å, degrees): 3.250 3.066 7.064 64.19 90.00 90.00
Atoms (fractional coordinates):
Ni 0.500 0.750 0.750
Cu 0.500 0.250 0.250
Cd 0.000 0.006 0.994
Cd 0.000 0.494 0.506

Summary:
Energy, eV/atom: -2.862
ΔE to the lowest computed polymorph, meV per atom: 3.1
Fermi-level density of states, states/eV per atom: 0.527